Entry 1:
VASP calculation (PBE+U) on a relaxed NaAcCr2F8 crystal.

Properties
E_tot = -5.8336 eV/atom

a = 6.4183 Å, b = 6.4183 Å, c = 6.9214 Å
α = 90.00°, β = 90.00°, γ = 120.00°
Site moments in Bohr magnetons follow the coordinates.
Sites, in units of the cell vectors:
1 Na 0.0000 0.0000 0.0000  0.00
2 F 0.2979 0.1489 0.2370  0.01
3 F 0.3333 0.6667 0.4435  0.00
4 F 0.8511 0.1489 0.2370  0.01
5 F 0.1489 0.2979 0.7630  0.01
6 F 0.8511 0.7021 0.2370  0.01
7 F 0.6667 0.3333 0.5565  0.00
8 F 0.7021 0.8511 0.7630  0.01
9 F 0.1489 0.8511 0.7630  0.01
10 Ac 0.0000 0.0000 0.5000  0.01
11 Cr 0.3333 0.6667 0.7180  3.80
12 Cr 0.6667 0.3333 0.2820  3.80

Entry 2:
VASP calculation (PBE+U) on a relaxed AcErCrO6 crystal.

Properties
E_tot = -7.4436 eV/atom

a = 5.4237 Å, b = 5.4237 Å, c = 5.2265 Å
α = 90.00°, β = 90.00°, γ = 60.00°
Sites, in units of the cell vectors:
1 O 0.3440 0.6083 0.2941
2 O 0.0476 0.3440 0.2941
3 O 0.6085 0.3438 0.7059
4 O 0.0477 0.6085 0.7059
5 O 0.3437 0.0478 0.7059
6 O 0.6083 0.0477 0.2941
7 Ac 0.0000 0.0000 0.9999
8 Cr 0.3333 0.3333 0.4997
9 Er 0.6666 0.6667 0.5004